Material: K3Ag7
Method: DFT, GGA-PBE
State: relaxed

Calculated values
Electronic total energy: -23.0 eV per formula unit

Cell: 7.337 7.337 7.427 Å, 90.00 90.00 134.86°
Atoms (fractional coordinates):
Ag: 0.393 0.607 0.807
Ag: 0.500 0.500 0.500
Ag: 0.000 0.500 0.000
K: 0.161 0.839 0.500
Ag: 0.607 0.393 0.193
K: 0.000 0.000 0.000
Ag: 0.607 0.393 0.807
Ag: 0.500 0.000 0.000
Ag: 0.393 0.607 0.193
K: 0.839 0.161 0.500